ZrSc2GeH | GGA-PBE | optimized geometry

Magnetization, μB per atom: 0.000
Mass density, Mg/m³: 5.15
Raw total energy, eV per atom: -6.321

abc: 4.3544 4.3544 4.3367
angles: 90.00 90.00 90.00
Fractional coordinates of all 5 atoms:
Sc: 0.5000 0.0000 0.0000
Sc: 0.0000 0.5000 0.0000
Zr: 0.0000 0.0000 0.5000
Ge: 0.5000 0.5000 0.5000
H: 0.0000 0.0000 0.0000

=====

Ge3HSe | GGA-PBE | optimized geometry

Magnetization, μB per atom: 0.081
Mass density, Mg/m³: 3.43
Energy above the most stable polymorph in this dataset, eV per atom: 0.7010
Raw total energy, eV per atom: -2.959

abc: 5.2429 5.2429 5.2429
angles: 90.00 90.00 90.00
Fractional coordinates of all 5 atoms:
Ge: 0.5000 0.0000 0.0000
Ge: 0.0000 0.0000 0.5000
Ge: 0.0000 0.5000 0.0000
Se: 0.0000 0.0000 0.0000
H: 0.5000 0.5000 0.5000

=====

Ge2HSe4 | GGA-PBE | optimized geometry

Magnetization, μB per atom: 0.000
Mass density, Mg/m³: 5.05
Raw total energy, eV per atom: -3.872

abc: 7.3199 7.3204 7.6957
angles: 117.38 119.78 89.73
Fractional coordinates of all 14 atoms:
Se: 0.3565 0.6578 0.7515
Se: 0.8541 0.1318 0.2528
Se: 0.8638 0.1379 0.7557
Se: 0.8207 0.6152 0.6978
Se: 0.8683 0.6421 0.2559
Se: 0.3327 0.6273 0.1976
Se: 0.3710 0.1488 0.7526
Se: 0.3438 0.1454 0.2516
H: 0.2994 0.5787 0.5076
H: 0.1773 0.9577 0.0085
Ge: 0.5882 0.3746 0.2144
Ge: 0.6375 0.9238 0.3194
Ge: 0.6461 0.4320 0.8195
Ge: 0.0904 0.3768 0.7148

=====

Ge3HSe | GGA-PBE | optimized geometry

Magnetization, μB per atom: 0.000
Mass density, Mg/m³: 5.76
Energy above the most stable polymorph in this dataset, eV per atom: 0.0000
Raw total energy, eV per atom: -3.660

abc: 4.4119 4.4119 4.4119
angles: 90.00 90.00 90.00
Fractional coordinates of all 5 atoms:
Ge: 0.5000 0.0000 0.0000
Ge: 0.0000 0.5000 0.0000
Ge: 0.0000 0.0000 0.5000
Se: 0.5000 0.5000 0.5000
H: 0.0000 0.0000 0.0000

=====

Ge3HSe3 | GGA-PBE | optimized geometry

Magnetization, μB per atom: 0.000
Mass density, Mg/m³: 4.36
Raw total energy, eV per atom: -4.033

abc: 6.7886 8.7602 10.6439
angles: 62.99 45.43 90.00
Fractional coordinates of all 14 atoms:
Se: 0.9957 0.3183 0.7879
Se: 0.0043 0.6817 0.2121
Se: 0.7656 0.1398 0.6093
Se: 0.5500 0.2531 0.3335
Se: 0.2344 0.8602 0.3907
Se: 0.4500 0.7469 0.6665
Ge: 0.6971 0.3722 0.7087
Ge: 0.0496 0.6189 0.7363
Ge: 0.3029 0.6278 0.2913
Ge: 0.7827 0.0719 0.1776
Ge: 0.2173 0.9281 0.8224
Ge: 0.9504 0.3811 0.2637
H: 0.2667 0.3987 0.0675
H: 0.7333 0.6013 0.9325

=====

GeHSe3 | GGA-PBE | optimized geometry

Magnetization, μB per atom: 0.000
Mass density, Mg/m³: 5.93
Energy above the most stable polymorph in this dataset, eV per atom: 0.0000
Raw total energy, eV per atom: -3.035

abc: 4.4296 4.4296 4.4296
angles: 90.00 90.00 90.00
Fractional coordinates of all 5 atoms:
H: 0.0000 0.0000 0.0000
Ge: 0.5000 0.5000 0.5000
Se: 0.5000 0.0000 0.0000
Se: 0.0000 0.0000 0.5000
Se: 0.0000 0.5000 0.0000